No. 1
Density functional theory data (GGA-PBE) for a geometry-optimized Er3Tm2ScTe6 structure.

Raw formation energy: -14.12 eV/f.u.
Raw total energy: -61.931 eV/cell

Cell: 9.5897 9.5897 8.6124 Å, 103.02 103.02 25.77°
Last column: nearest neighbours and their distance in Å.
Fractional positions:
Er  0.0000  0.0000  0.0000  6 Te 3.04-3.08
Er  0.3301  0.3301  0.6637  6 Te 3.04-3.07
Er  0.6699  0.6699  0.3363  6 Te 3.04-3.07
Tm  0.3340  0.3340  0.1682  6 Te 3.02-3.04
Tm  0.6660  0.6660  0.8318  6 Te 3.02-3.04
Sc  0.0000  0.0000  0.5000  6 Te 2.95-2.99
Te  0.1623  0.1623  0.5823  1 Sc 2.95, 2 Tm 3.02, 3 Er 3.04-3.05
Te  0.1671  0.1671  0.0825  3 Tm 3.03-3.04, 3 Er 3.04-3.05
Te  0.4987  0.4987  0.7422  2 Sc 2.99, 1 Tm 3.04, 3 Er 3.07-3.08
Te  0.5013  0.5013  0.2578  2 Sc 2.99, 1 Tm 3.04, 3 Er 3.07-3.08
Te  0.8329  0.8329  0.9175  3 Tm 3.03-3.04, 3 Er 3.04-3.05
Te  0.8377  0.8377  0.4177  1 Sc 2.95, 2 Tm 3.02, 3 Er 3.04-3.05



No. 2
Density functional theory data (GGA-PBE) for a geometry-optimized Er2TmScTe6 structure.

Raw formation energy: -12.97 eV/f.u.
Raw total energy: -51.749 eV/cell

Cell: 8.1490 8.1490 8.1490 Å, 55.11 55.11 55.11°
Last column: nearest neighbours and their distance in Å.
Fractional positions:
Er  0.0000  0.0000  0.0000  6 Te 3.03-3.08
Er  0.4986  0.4986  0.4986  6 Te 3.05-3.07
Tm  0.1834  0.1834  0.1834  6 Te 3.02-3.07
Sc  0.6820  0.6820  0.6820  6 Te 2.94-2.97
Te  0.0769  0.4204  0.7790  1 Sc 2.94, 2 Er 3.05-3.08, 1 Tm 3.07
Te  0.2864  0.9093  0.5875  1 Sc 2.97, 1 Tm 3.02, 2 Er 3.03-3.07
Te  0.4204  0.7790  0.0769  1 Sc 2.94, 2 Er 3.05-3.08, 1 Tm 3.07
Te  0.5875  0.2864  0.9093  1 Sc 2.97, 1 Tm 3.02, 2 Er 3.03-3.07
Te  0.7790  0.0769  0.4204  1 Sc 2.94, 2 Er 3.05-3.08, 1 Tm 3.07
Te  0.9093  0.5875  0.2864  1 Sc 2.97, 1 Tm 3.02, 2 Er 3.03-3.07



No. 3
Density functional theory data (GGA-PBE) for a geometry-optimized ErTm3Sc2Te6 structure.

Raw formation energy: -13.82 eV/f.u.
Raw total energy: -63.311 eV/cell

Cell: 9.5275 9.5275 8.5486 Å, 102.95 102.95 25.80°
Last column: nearest neighbours and their distance in Å.
Fractional positions:
Er  0.0000  0.0000  0.0000  6 Te 3.02-3.06
Tm  0.0000  0.0000  0.5000  6 Te 3.01-3.06
Tm  0.3373  0.3373  0.1702  6 Te 3.02-3.06
Tm  0.6627  0.6627  0.8298  6 Te 3.02-3.06
Sc  0.3337  0.3337  0.6670  6 Te 2.93-2.98
Sc  0.6663  0.6663  0.3330  6 Te 2.93-2.98
Te  0.1690  0.1690  0.0898  2 Sc 2.98, 3 Tm 3.04-3.06, 1 Er 3.06
Te  0.1692  0.1692  0.5776  3 Sc 2.97, 3 Tm 3.05-3.06
Te  0.4959  0.4959  0.7469  1 Sc 2.93, 3 Tm 3.01-3.02, 2 Er 3.02
Te  0.5041  0.5041  0.2531  1 Sc 2.93, 3 Tm 3.01-3.02, 2 Er 3.02
Te  0.8308  0.8308  0.4224  3 Sc 2.97, 3 Tm 3.05-3.06
Te  0.8310  0.8310  0.9102  2 Sc 2.98, 3 Tm 3.04-3.06, 1 Er 3.06



No. 4
Density functional theory data (GGA-PBE) for a geometry-optimized Er2TmScTe4 structure.

Raw formation energy: -9.35 eV/f.u.
Raw total energy: -41.850 eV/cell

Cell: 7.4396 4.2372 7.4405 Å, 90.00 108.92 90.00°
Last column: nearest neighbours and their distance in Å.
Fractional positions:
Er  0.0000  0.0000  0.0000  6 Te 3.03
Er  0.0000  0.5000  0.5000  6 Te 3.07
Tm  0.5000  0.0000  0.5000  6 Te 3.02
Sc  0.5000  0.5000  0.0000  6 Te 2.98
Te  0.2549  0.5000  0.2473  1 Sc 2.98, 2 Tm 3.02, 3 Er 3.03-3.07
Te  0.2579  0.0000  0.7568  2 Sc 2.98, 1 Tm 3.02, 3 Er 3.03-3.07
Te  0.7421  0.0000  0.2432  2 Sc 2.98, 1 Tm 3.02, 3 Er 3.03-3.07
Te  0.7451  0.5000  0.7527  1 Sc 2.98, 2 Tm 3.02, 3 Er 3.03-3.07



Q: Which of these has the lowest raw formation energy?
A: Er3Tm2ScTe6



Q: Number 3 is which compound?
A: ErTm3Sc2Te6